An optimized crystal structure of ZrGeBiPd2. Source: the Alexandria database, functional GGA-PBE.

## Properties
Its total DFT energy (no corrections) is -5.0122 eV/atom.

Unit cell a=4.962 b=4.962 c=5.181 alpha=90.00 beta=90.00 gamma=90.00
Space group P4/mmm (No. 123)
Unique sites:
Zr 0.000 0.000 0.000 (multiplicity 1)
Ge 0.000 0.000 0.500 (multiplicity 1)
Bi 0.500 0.500 0.500 (multiplicity 1)
Pd 0.000 0.500 0.000 (multiplicity 2)